Density functional theory data (GGA-PBEsol) for crystalline Ba4NaB10ClO18F2 at its relaxed geometry.

Summary:
Crystal system ... monoclinic
Symmetry ... No. 14
Raw formation energy ... -98.47 eV/f.u.

Lattice parameters (Å, degrees): 6.747 11.456 11.480 90.00 91.80 90.00
Element x y z (fractional)
Ba  0.327  0.706  0.968
Ba  0.827  0.794  0.468
Ba  0.673  0.294  0.032
Ba  0.173  0.206  0.532
Ba  0.500  0.967  0.196
Ba  0.000  0.533  0.696
Ba  0.500  0.033  0.804
Ba  0.000  0.467  0.304
Na  0.000  0.000  0.000
Na  0.500  0.500  0.500
B  0.039  0.781  0.198
B  0.539  0.719  0.698
B  0.961  0.219  0.802
B  0.461  0.281  0.302
B  0.190  0.229  0.975
B  0.690  0.271  0.475
B  0.810  0.771  0.025
B  0.310  0.729  0.525
B  0.358  0.701  0.303
B  0.858  0.799  0.803
B  0.642  0.299  0.697
B  0.142  0.201  0.197
B  0.000  0.008  0.257
B  0.500  0.492  0.757
B  0.000  0.992  0.743
B  0.500  0.508  0.243
B  0.196  0.811  0.711
B  0.696  0.689  0.211
B  0.804  0.189  0.289
B  0.304  0.311  0.789
Cl  0.000  0.500  0.000
Cl  0.500  0.000  0.500
O  0.067  0.761  0.800
O  0.567  0.739  0.300
O  0.933  0.239  0.200
O  0.433  0.261  0.700
O  0.594  0.193  0.254
O  0.094  0.307  0.754
O  0.406  0.807  0.746
O  0.906  0.693  0.246
O  0.006  0.200  0.930
O  0.506  0.300  0.430
O  0.994  0.800  0.070
O  0.494  0.700  0.570
O  0.657  0.754  0.101
O  0.157  0.746  0.601
O  0.343  0.246  0.899
O  0.843  0.254  0.399
O  0.144  0.067  0.199
O  0.644  0.433  0.699
O  0.856  0.933  0.801
O  0.356  0.567  0.301
O  0.248  0.750  0.204
O  0.748  0.750  0.704
O  0.752  0.250  0.796
O  0.252  0.250  0.296
O  0.492  0.611  0.763
O  0.992  0.889  0.263
O  0.508  0.389  0.237
O  0.008  0.111  0.737
O  0.851  0.065  0.311
O  0.351  0.435  0.811
O  0.149  0.935  0.689
O  0.649  0.565  0.189
O  0.758  0.767  0.910
O  0.258  0.733  0.410
O  0.242  0.233  0.090
O  0.742  0.267  0.590
F  0.681  0.060  0.021
F  0.181  0.440  0.521
F  0.319  0.940  0.979
F  0.819  0.560  0.479

Density functional theory data (GGA-PBEsol) for crystalline Ba2B5ClO9 at its relaxed geometry.

Summary:
Crystal system ... orthorhombic
Symmetry ... No. 34
Raw formation energy ... -45.67 eV/f.u.

Lattice parameters (Å, degrees): 6.696 11.599 11.661 90.00 90.00 90.00
Element x y z (fractional)
Ba  0.994  0.733  0.020
Ba  0.650  0.456  0.746
Ba  0.994  0.267  0.980
Ba  0.150  0.956  0.754
Ba  0.150  0.044  0.246
Ba  0.650  0.544  0.254
Ba  0.494  0.233  0.480
Ba  0.494  0.767  0.520
B  0.844  0.814  0.271
B  0.497  0.202  0.819
B  0.128  0.510  0.752
B  0.997  0.298  0.319
B  0.497  0.798  0.181
B  0.628  0.990  0.252
B  0.962  0.274  0.543
B  0.462  0.226  0.043
B  0.344  0.314  0.229
B  0.678  0.214  0.214
B  0.178  0.286  0.714
B  0.997  0.702  0.681
B  0.844  0.186  0.729
B  0.462  0.774  0.957
B  0.962  0.726  0.457
B  0.128  0.490  0.248
B  0.344  0.686  0.771
B  0.628  0.010  0.748
B  0.678  0.786  0.786
B  0.178  0.714  0.286
Cl  0.010  0.000  0.000
Cl  0.275  0.000  0.500
Cl  0.775  0.500  0.000
Cl  0.510  0.500  0.500
O  0.978  0.424  0.295
O  0.392  0.270  0.731
O  0.308  0.750  0.880
O  0.711  0.233  0.818
O  0.406  0.774  0.069
O  0.478  0.076  0.795
O  0.308  0.250  0.120
O  0.892  0.770  0.769
O  0.892  0.230  0.231
O  0.211  0.267  0.318
O  0.094  0.394  0.768
O  0.906  0.274  0.431
O  0.211  0.733  0.682
O  0.649  0.207  0.086
O  0.594  0.106  0.268
O  0.978  0.576  0.705
O  0.801  0.939  0.290
O  0.556  0.308  0.261
O  0.149  0.707  0.414
O  0.649  0.793  0.914
O  0.556  0.692  0.739
O  0.301  0.439  0.210
O  0.594  0.894  0.732
O  0.056  0.808  0.239
O  0.094  0.606  0.232
O  0.906  0.726  0.569
O  0.808  0.250  0.620
O  0.392  0.730  0.269
O  0.406  0.226  0.931
O  0.056  0.192  0.761
O  0.801  0.061  0.710
O  0.301  0.561  0.790
O  0.808  0.750  0.380
O  0.149  0.293  0.586
O  0.711  0.767  0.182
O  0.478  0.924  0.205

Density functional theory data (GGA-PBEsol) for crystalline Ba4B10Cl2O19 at its relaxed geometry.

Summary:
Crystal system ... orthorhombic
Symmetry ... No. 34
Raw formation energy ... -88.82 eV/f.u.

Lattice parameters (Å, degrees): 6.701 11.616 11.709 90.00 90.00 90.00
Last column: magnetic moment on the atom in μB.
Element x y z (fractional)
Ba  0.379  0.730  0.981  -0.01
Ba  0.379  0.270  0.019  -0.01
Ba  0.879  0.770  0.481  -0.01
Ba  0.879  0.230  0.519  -0.01
Ba  0.035  0.543  0.740  0.00
Ba  0.035  0.457  0.260  0.00
Ba  0.535  0.957  0.240  0.00
Ba  0.535  0.043  0.760  0.00
B  0.847  0.773  0.045  0.00
B  0.847  0.227  0.955  0.00
B  0.347  0.727  0.545  0.00
B  0.347  0.273  0.455  0.00
B  0.512  0.486  0.751  0.00
B  0.512  0.514  0.249  0.00
B  0.012  0.014  0.251  0.00
B  0.012  0.986  0.749  0.00
B  0.882  0.795  0.820  0.00
B  0.882  0.205  0.180  0.00
B  0.382  0.705  0.320  0.00
B  0.382  0.295  0.680  0.00
B  0.229  0.812  0.731  0.00
B  0.229  0.188  0.269  0.00
B  0.729  0.688  0.231  0.00
B  0.729  0.312  0.769  0.00
B  0.562  0.712  0.715  0.00
B  0.562  0.288  0.285  0.00
B  0.062  0.788  0.215  0.00
B  0.062  0.212  0.785  0.00
Cl  0.390  0.000  0.000  0.00
Cl  0.890  0.500  0.500  0.00
Cl  0.122  0.500  0.000  0.26
Cl  0.622  0.000  0.500  0.26
O  0.474  0.500  0.000  1.21
O  0.974  0.000  0.500  1.21
O  0.361  0.420  0.706  0.01
O  0.361  0.580  0.294  0.01
O  0.861  0.080  0.206  0.01
O  0.861  0.920  0.794  0.01
O  0.035  0.793  0.087  0.01
O  0.035  0.207  0.913  0.01
O  0.535  0.707  0.587  0.01
O  0.535  0.293  0.413  0.01
O  0.688  0.437  0.785  0.02
O  0.688  0.563  0.215  0.02
O  0.188  0.063  0.285  0.02
O  0.188  0.937  0.715  0.02
O  0.095  0.763  0.818  0.00
O  0.095  0.237  0.182  0.00
O  0.595  0.737  0.318  0.00
O  0.595  0.263  0.682  0.00
O  0.693  0.750  0.122  0.00
O  0.693  0.250  0.878  0.00
O  0.193  0.750  0.622  0.00
O  0.193  0.250  0.378  0.00
O  0.474  0.602  0.765  0.04
O  0.474  0.398  0.235  0.04
O  0.974  0.898  0.265  0.04
O  0.974  0.102  0.735  0.04
O  0.775  0.725  0.734  0.01
O  0.775  0.275  0.266  0.01
O  0.275  0.775  0.234  0.01
O  0.275  0.225  0.766  0.01
O  0.792  0.773  0.933  0.01
O  0.792  0.227  0.067  0.01
O  0.292  0.727  0.433  0.01
O  0.292  0.273  0.567  0.01
O  0.440  0.805  0.764  0.00
O  0.440  0.195  0.236  0.00
O  0.940  0.695  0.264  0.00
O  0.940  0.305  0.736  0.00

Density functional theory data (GGA-PBEsol) for crystalline Ba5B3ClO9 at its relaxed geometry.

Summary:
Crystal system ... orthorhombic
Symmetry ... No. 20
Raw formation energy ... -50.38 eV/f.u.

Lattice parameters (Å, degrees): 7.856 9.104 9.104 109.84 90.00 90.00
Element x y z (fractional)
Ba  0.000  0.239  0.239
Ba  0.500  0.761  0.761
Ba  0.056  0.995  0.737
Ba  0.944  0.737  0.995
Ba  0.556  0.005  0.263
Ba  0.444  0.263  0.005
Ba  0.250  0.636  0.364
Ba  0.750  0.364  0.636
Ba  0.250  0.359  0.641
Ba  0.750  0.641  0.359
B  0.031  0.405  0.985
B  0.969  0.985  0.405
B  0.531  0.595  0.015
B  0.469  0.015  0.595
B  0.000  0.628  0.628
B  0.500  0.372  0.372
Cl  0.250  0.955  0.045
Cl  0.750  0.045  0.955
O  0.000  0.494  0.494
O  0.500  0.506  0.506
O  0.991  0.511  0.133
O  0.009  0.133  0.511
O  0.491  0.489  0.867
O  0.509  0.867  0.489
O  0.013  0.851  0.436
O  0.987  0.436  0.851
O  0.513  0.149  0.564
O  0.487  0.564  0.149
O  0.655  0.310  0.307
O  0.345  0.307  0.310
O  0.155  0.690  0.693
O  0.845  0.693  0.690
O  0.119  0.269  0.971
O  0.881  0.971  0.269
O  0.619  0.731  0.029
O  0.381  0.029  0.731

Density functional theory data (GGA-PBEsol) for crystalline Ba3B3Pb2ClO9 at its relaxed geometry.

Summary:
Crystal system ... orthorhombic
Symmetry ... No. 20
Raw formation energy ... -42.98 eV/f.u.

Lattice parameters (Å, degrees): 7.895 8.866 8.866 107.79 90.00 90.00
Element x y z (fractional)
Ba  0.000  0.234  0.234
Ba  0.500  0.766  0.766
Ba  0.250  0.358  0.642
Ba  0.750  0.642  0.358
Ba  0.250  0.651  0.349
Ba  0.750  0.349  0.651
B  0.000  0.626  0.626
B  0.500  0.374  0.374
B  0.458  0.575  0.009
B  0.542  0.009  0.575
B  0.958  0.425  0.991
B  0.042  0.991  0.425
Pb  0.076  0.737  0.977
Pb  0.924  0.977  0.737
Pb  0.576  0.263  0.023
Pb  0.424  0.023  0.263
Cl  0.750  0.946  0.054
Cl  0.250  0.054  0.946
O  0.003  0.516  0.142
O  0.997  0.142  0.516
O  0.503  0.484  0.858
O  0.497  0.858  0.484
O  0.011  0.466  0.860
O  0.989  0.860  0.466
O  0.511  0.534  0.140
O  0.489  0.140  0.534
O  0.000  0.494  0.494
O  0.500  0.506  0.506
O  0.154  0.684  0.698
O  0.846  0.698  0.684
O  0.654  0.316  0.302
O  0.346  0.302  0.316
O  0.358  0.710  0.034
O  0.642  0.034  0.710
O  0.858  0.290  0.966
O  0.142  0.966  0.290

Density functional theory data (GGA-PBEsol) for crystalline BaCoBP2HO9 at its relaxed geometry.

Summary:
Crystal system ... triclinic
Final energy ... -222.74 eV/cell
Symmetry ... No. 2

Lattice parameters (Å, degrees): 5.309 7.939 8.270 87.95 79.35 86.96
Last column: magnetic moment on the atom in μB.
Element x y z (fractional)
Ba  0.278  0.688  0.887  0.00
Ba  0.722  0.312  0.113  0.00
Co  0.272  0.201  0.803  2.62
Co  0.728  0.799  0.197  2.62
B  0.890  0.749  0.546  0.00
B  0.110  0.251  0.454  0.00
P  0.775  0.942  0.821  0.01
P  0.225  0.058  0.179  0.01
P  0.202  0.567  0.303  0.01
P  0.798  0.433  0.697  0.01
H  0.777  0.958  0.431  0.00
H  0.223  0.042  0.569  0.00
O  0.450  0.620  0.192  0.03
O  0.550  0.380  0.808  0.03
O  0.037  0.131  0.340  0.01
O  0.963  0.869  0.660  0.01
O  0.759  0.790  0.946  0.05
O  0.241  0.210  0.054  0.05
O  0.260  0.162  0.564  0.05
O  0.740  0.838  0.436  0.05
O  0.022  0.429  0.791  0.04
O  0.978  0.571  0.209  0.04
O  0.137  0.674  0.461  0.00
O  0.863  0.326  0.539  0.00
O  0.506  0.985  0.784  0.05
O  0.494  0.015  0.216  0.05
O  0.272  0.382  0.362  0.01
O  0.728  0.618  0.638  0.01
O  0.088  0.909  0.133  0.04
O  0.912  0.091  0.867  0.04

Density functional theory data (GGA-PBEsol) for crystalline Ba2CoB6O12 at its relaxed geometry.

Summary:
Crystal system ... trigonal
Symmetry ... No. 148
Raw formation energy ... -50.72 eV/f.u.

Lattice parameters (Å, degrees): 6.830 6.830 6.830 62.23 62.23 62.23
Last column: magnetic moment on the atom in μB.
Element x y z (fractional)
Ba  0.789  0.789  0.789  0.00
Ba  0.211  0.211  0.211  0.00
Co  0.000  0.000  0.000  2.60
B  0.636  0.355  0.242  0.01
B  0.364  0.645  0.758  0.01
B  0.758  0.364  0.645  0.01
B  0.242  0.636  0.355  0.01
B  0.645  0.758  0.364  0.01
B  0.355  0.242  0.636  0.01
O  0.464  0.574  0.194  0.00
O  0.536  0.426  0.806  0.00
O  0.574  0.194  0.464  0.00
O  0.426  0.806  0.536  0.00
O  0.194  0.464  0.574  0.00
O  0.806  0.536  0.426  0.00
O  0.156  0.686  0.920  0.04
O  0.920  0.156  0.686  0.04
O  0.686  0.920  0.156  0.04
O  0.080  0.844  0.314  0.04
O  0.844  0.314  0.080  0.04
O  0.314  0.080  0.844  0.04

Density functional theory data (GGA-PBEsol) for crystalline Ba2CoBS at its relaxed geometry.

Summary:
Crystal system ... tetragonal
Symmetry ... No. 123
Raw formation energy ... -1.65 eV/f.u.

Lattice parameters (Å, degrees): 3.796 5.664 5.664 90.00 90.00 90.00
Last column: magnetic moment on the atom in μB.
Element x y z (fractional)
S  0.500  0.500  0.500  0.02
B  0.000  0.000  0.000  -0.04
Co  0.500  0.000  0.000  0.57
Ba  0.000  0.000  0.500  -0.02
Ba  0.000  0.500  0.000  -0.02

Density functional theory data (GGA-PBEsol) for crystalline BaCoB2Te at its relaxed geometry.

Summary:
Crystal system ... tetragonal
Symmetry ... No. 123
Raw formation energy ... 6.38 eV/f.u.

Lattice parameters (Å, degrees): 4.627 4.670 4.670 90.00 90.00 90.00
Element x y z (fractional)
B  0.000  0.000  0.500
B  0.000  0.500  0.000
Te  0.000  0.000  0.000
Co  0.500  0.000  0.000
Ba  0.500  0.500  0.500

Density functional theory data (GGA-PBEsol) for crystalline BaCrB2 at its relaxed geometry.

Summary:
Formation energy from the elements ... 6.014 eV per formula unit
Crystal system ... cubic
Symmetry ... No. 225

Lattice parameters (Å, degrees): 4.569 4.569 4.569 60.00 60.00 60.00
Last column: magnetic moment on the atom in μB.
Element x y z (fractional)
Cr  0.000  0.000  0.000  3.53
B  0.250  0.250  0.250  -0.05
B  0.750  0.750  0.750  -0.05
Ba  0.500  0.500  0.500  0.02

Density functional theory data (GGA-PBEsol) for crystalline BaCr2BF at its relaxed geometry.

Summary:
Crystal system ... tetragonal
Symmetry ... No. 123
Raw formation energy ... -0.73 eV/f.u.

Lattice parameters (Å, degrees): 3.953 3.953 6.464 90.00 90.00 90.00
Last column: magnetic moment on the atom in μB.
Element x y z (fractional)
Cr  0.000  0.500  0.000  2.76
Cr  0.500  0.000  0.000  2.76
B  0.000  0.000  0.000  -0.15
Ba  0.500  0.500  0.500  0.06
F  0.000  0.000  0.500  0.01